1.
## HfCdSb2 (PBE)

Data for an optimized crystal structure of HfCdSb2.

Cell and atoms, written as CIF:
```
data_HfCdSb2
_chemical_formula_sum 'Hf3 Cd3 Sb6'
_space_group_name_H-M_alt 'R 3 m'
_space_group_IT_number 160
_space_group_name_Hall 'R 3 -2"'
_cell_length_a 4.2409
_cell_length_b 4.2409
_cell_length_c 20.9951
_cell_angle_alpha 90.00
_cell_angle_beta 90.00
_cell_angle_gamma 120.00
loop_
_atom_site_label
_atom_site_type_symbol
_atom_site_fract_x
_atom_site_fract_y
_atom_site_fract_z
Hf1 Hf 0.0000 0.0000 0.0000
Cd1 Cd 0.0000 0.0000 0.1642
Sb1 Sb 0.0000 0.0000 0.4084
Sb2 Sb 0.0000 0.0000 0.5880
```

Values from the calculation:
raw formation energy = -78 meV per atom
total energy = -4.856 eV/atom
total magnetic moment = 0.0 μB/f.u.



2.
## Hf6CdSb3 (PBE)

Data for an optimized crystal structure of Hf6CdSb3.

Cell and atoms, written as CIF:
```
data_Hf6CdSb3
_chemical_formula_sum 'Hf24 Cd4 Sb12'
_space_group_name_H-M_alt 'C m c 21'
_space_group_IT_number 36
_space_group_name_Hall 'C 2c -2'
_cell_length_a 9.311
_cell_length_b 14.061
_cell_length_c 7.263
_cell_angle_alpha 90.00
_cell_angle_beta 90.00
_cell_angle_gamma 90.00
loop_
_atom_site_label
_atom_site_type_symbol
_atom_site_fract_x
_atom_site_fract_y
_atom_site_fract_z
Hf1 Hf 0.000 0.049 0.000
Hf2 Hf 0.000 0.261 0.759
Hf3 Hf 0.189 0.432 0.824
Hf4 Hf 0.234 0.213 0.017
Cd1 Cd 0.000 0.181 0.316
Sb1 Sb 0.000 0.420 0.492
Sb2 Sb 0.193 0.103 0.679
```

Values from the calculation:
raw formation energy = -190 meV per atom
total energy = -7.490 eV/atom
total magnetic moment = 0.0 μB/f.u.



3.
## Hf2Cd2Sb (PBE)

Data for an optimized crystal structure of Hf2Cd2Sb.

Cell and atoms, written as CIF:
```
data_Hf2Cd2Sb
_chemical_formula_sum 'Hf4 Cd4 Sb2'
_space_group_name_H-M_alt 'P 4/m b m'
_space_group_IT_number 127
_space_group_name_Hall '-P 4 2ab'
_cell_length_a 7.330
_cell_length_b 7.330
_cell_length_c 4.487
_cell_angle_alpha 90.00
_cell_angle_beta 90.00
_cell_angle_gamma 90.00
loop_
_atom_site_label
_atom_site_type_symbol
_atom_site_fract_x
_atom_site_fract_y
_atom_site_fract_z
Hf1 Hf 0.150 0.350 0.000
Cd1 Cd 0.146 0.646 0.500
Sb1 Sb 0.000 0.000 0.000
```

Values from the calculation:
raw formation energy = 1 meV per atom
total energy = -5.171 eV/atom
relative energy among the computed polymorphs = 0.0 meV/atom
total magnetic moment = 0.0 μB/f.u.



4.
## HfCd3Sb (PBE)

Data for an optimized crystal structure of HfCd3Sb.

Cell and atoms, written as CIF:
```
data_HfCd3Sb
_chemical_formula_sum 'Hf1 Cd3 Sb1'
_space_group_name_H-M_alt 'P m -3 m'
_space_group_IT_number 221
_space_group_name_Hall '-P 4 2 3'
_cell_length_a 5.519
_cell_length_b 5.519
_cell_length_c 5.519
_cell_angle_alpha 90.00
_cell_angle_beta 90.00
_cell_angle_gamma 90.00
loop_
_atom_site_label
_atom_site_type_symbol
_atom_site_fract_x
_atom_site_fract_y
_atom_site_fract_z
Hf1 Hf 0.000 0.000 0.000
Cd1 Cd 0.000 0.000 0.500
Sb1 Sb 0.500 0.500 0.500
```

Values from the calculation:
raw formation energy = 941 meV per atom
total energy = -2.424 eV/atom
relative energy among the computed polymorphs = 0.0 meV/atom
total magnetic moment = 0.0 μB/f.u.



5.
## Hf3CdSb (PBE)

Data for an optimized crystal structure of Hf3CdSb.

Cell and atoms, written as CIF:
```
data_Hf3CdSb
_chemical_formula_sum 'Hf3 Cd1 Sb1'
_space_group_name_H-M_alt 'P m -3 m'
_space_group_IT_number 221
_space_group_name_Hall '-P 4 2 3'
_cell_length_a 5.228
_cell_length_b 5.228
_cell_length_c 5.228
_cell_angle_alpha 90.00
_cell_angle_beta 90.00
_cell_angle_gamma 90.00
loop_
_atom_site_label
_atom_site_type_symbol
_atom_site_fract_x
_atom_site_fract_y
_atom_site_fract_z
Hf1 Hf 0.000 0.000 0.500
Cd1 Cd 0.500 0.500 0.500
Sb1 Sb 0.000 0.000 0.000
```

Values from the calculation:
raw formation energy = 857 meV per atom
total energy = -6.123 eV/atom
relative energy among the computed polymorphs = 0.0 meV/atom
total magnetic moment = 0.0 μB/f.u.



6.
## HfCd2Sb2 (PBE)

Data for an optimized crystal structure of HfCd2Sb2.

Cell and atoms, written as CIF:
```
data_HfCd2Sb2
_chemical_formula_sum 'Hf2 Cd4 Sb4'
_space_group_name_H-M_alt 'P 4/m b m'
_space_group_IT_number 127
_space_group_name_Hall '-P 4 2ab'
_cell_length_a 7.681
_cell_length_b 7.681
_cell_length_c 4.247
_cell_angle_alpha 90.00
_cell_angle_beta 90.00
_cell_angle_gamma 90.00
loop_
_atom_site_label
_atom_site_type_symbol
_atom_site_fract_x
_atom_site_fract_y
_atom_site_fract_z
Hf1 Hf 0.000 0.000 0.000
Cd1 Cd 0.153 0.347 0.500
Sb1 Sb 0.158 0.658 0.000
```

Values from the calculation:
raw formation energy = 73 meV per atom
total energy = -3.933 eV/atom
total magnetic moment = 0.0 μB/f.u.



7.
## HfCdSn2Sb (PBE)

Data for an optimized crystal structure of HfCdSn2Sb.

Cell and atoms, written as CIF:
```
data_HfCdSn2Sb
_chemical_formula_sum 'Hf1 Cd1 Sn2 Sb1'
_space_group_name_H-M_alt 'P 4/m m m'
_space_group_IT_number 123
_space_group_name_Hall '-P 4 2'
_cell_length_a 5.662
_cell_length_b 5.662
_cell_length_c 5.216
_cell_angle_alpha 90.00
_cell_angle_beta 90.00
_cell_angle_gamma 90.00
loop_
_atom_site_label
_atom_site_type_symbol
_atom_site_fract_x
_atom_site_fract_y
_atom_site_fract_z
Hf1 Hf 0.000 0.000 0.000
Cd1 Cd 0.500 0.500 0.000
Sn1 Sn 0.000 0.500 0.500
Sb1 Sb 0.500 0.500 0.500
```

Values from the calculation:
raw formation energy = 1061 meV per atom
total energy = -3.538 eV/atom
total magnetic moment = 0.0 μB/f.u.



8.
## HfTaCd2Sb (PBE)

Data for an optimized crystal structure of HfTaCd2Sb.

Cell and atoms, written as CIF:
```
data_HfTaCd2Sb
_chemical_formula_sum 'Hf1 Ta1 Cd2 Sb1'
_space_group_name_H-M_alt 'P 4/m m m'
_space_group_IT_number 123
_space_group_name_Hall '-P 4 2'
_cell_length_a 5.272
_cell_length_b 5.272
_cell_length_c 5.183
_cell_angle_alpha 90.00
_cell_angle_beta 90.00
_cell_angle_gamma 90.00
loop_
_atom_site_label
_atom_site_type_symbol
_atom_site_fract_x
_atom_site_fract_y
_atom_site_fract_z
Hf1 Hf 0.000 0.000 0.000
Ta1 Ta 0.500 0.500 0.500
Cd1 Cd 0.000 0.500 0.500
Sb1 Sb 0.500 0.500 0.000
```

Values from the calculation:
raw formation energy = 1142 meV per atom
total energy = -4.410 eV/atom
total magnetic moment = 0.0 μB/f.u.



- Which value of raw formation energy does entry 7 give?
  1061 meV per atom



- Which formula does entry 2 have?
  Hf6CdSb3